# 1
Cs2AcTiO4 | PBE | relaxed

Cell and atoms, written as extended XYZ:
```
16
Lattice="-2.455 -5.872 -0.972 0.024 -4.544 6.071 -12.829 1.373 2.785" Properties=species:S:1:pos:R:3 pbc="T T T"
Cs -3.901 -7.603 2.475
Ti -7.016 -3.054 4.185
Cs -6.797 -4.259 0.253
O -8.466 -3.646 3.205
O -12.606 -0.971 3.280
O -2.291 -4.026 0.562
O -13.916 -7.282 6.948
Cs -12.586 -4.377 4.924
Cs -8.486 -0.240 1.561
Ac -8.244 -5.990 3.699
O -5.953 -1.964 3.138
O -1.707 -5.809 4.979
Ac 0.000 0.000 0.000
O -6.512 -4.725 4.791
O -9.588 -7.752 4.636
Ti -1.227 -2.936 -0.486
```

Values from the calculation:
Its size of the total moment is 0.000 μB/f.u. Its uncorrected formation energy is -2.21 eV/atom. Its total energy is -6.405 eV/atom.

# 2
CdNiW2 | PBE | relaxed

Cell and atoms, written as extended XYZ:
```
4
Lattice="4.340 0.000 0.000 0.000 2.706 0.012 0.000 2.029 5.371" Properties=species:S:1:pos:R:3 pbc="T T T"
W 0.000 4.619 5.267
Cd 2.170 1.184 1.346
W 0.000 2.483 2.807
Ni 2.170 3.551 4.037
```

Values from the calculation:
Its size of the total moment is 0.001 μB/f.u. The value obtained for the energy of formation is 1.9 eV/f.u. Its total energy is -7.677 eV/atom.

# 3
PmDyRu2 | PBE | relaxed

Cell and atoms, written as extended XYZ:
```
4
Lattice="3.441 0.000 0.000 0.000 3.441 0.000 0.000 0.000 6.890" Properties=species:S:1:pos:R:3 pbc="T T T"
Ru 0.000 0.000 5.207
Pm 1.720 1.720 3.445
Dy 1.720 1.720 0.000
Ru 0.000 0.000 1.683
```

Values from the calculation:
Its size of the total moment is 0.000 μB/f.u. The value obtained for the energy of formation is -0.9 eV/f.u. Its total energy is -7.192 eV/atom.

# 4
Pu2TcBr | PBE | relaxed

Cell and atoms, written as extended XYZ:
```
4
Lattice="3.907 0.000 0.000 1.953 3.383 0.000 1.953 1.128 7.684" Properties=species:S:1:pos:R:3 pbc="T T T"
Br 3.907 2.256 3.842
Pu 1.953 1.128 1.545
Tc 0.000 0.000 0.000
Pu 5.860 3.383 6.139
```

Values from the calculation:
Its size of the total moment is 9.681 μB/f.u. Its uncorrected formation energy is -0.28 eV/atom. Its total energy is -10.452 eV/atom.

# 5
LaPr2Tm4Th | PBE | relaxed

Cell and atoms, written as extended XYZ:
```
8
Lattice="-4.261 -2.630 -1.198 0.216 -2.416 4.538 -5.307 4.693 8.575" Properties=species:S:1:pos:R:3 pbc="T T T"
Tm -3.784 1.664 9.810
Tm -3.329 -1.910 4.971
Pr -4.784 1.031 3.688
Th -2.545 1.138 6.556
Tm -5.568 -2.018 2.105
Tm -6.023 1.556 6.944
Pr -5.307 4.693 8.575
La -7.329 2.169 10.245
```

Values from the calculation:
Its size of the total moment is 0.000 μB/f.u. The value obtained for the energy of formation is 0.3 eV/f.u. Its total energy is -4.942 eV/atom.

# 6
Ce5TmPb5 | PBE | relaxed

Cell and atoms, written as extended XYZ:
```
11
Lattice="6.390 0.000 0.000 -3.195 7.244 0.014 0.000 -2.696 8.345" Properties=species:S:1:pos:R:3 pbc="T T T"
Ce 0.000 -1.348 4.173
Ce 3.195 0.137 6.920
Pb 0.000 0.163 6.968
Ce 3.195 1.507 2.796
Pb 3.195 3.061 5.586
Ce 0.000 3.041 5.564
Pb 3.195 4.386 1.391
Ce 0.000 4.411 1.440
Pb 3.195 0.000 0.000
Pb 0.000 1.487 2.773
Tm 0.000 0.000 0.000
```

Values from the calculation:
Its size of the total moment is 3.882 μB/f.u. The value obtained for the energy of formation is -1.7 eV/f.u. Its total energy is -4.945 eV/atom.

# 7
Cr2RuAu | PBE | relaxed

Cell and atoms, written as extended XYZ:
```
4
Lattice="2.667 -0.001 0.000 -1.032 2.459 0.000 0.000 0.000 8.617" Properties=species:S:1:pos:R:3 pbc="T T T"
Au 0.817 1.229 6.552
Cr 0.000 0.000 0.283
Ru 0.000 0.000 4.059
Cr 0.817 1.229 2.032
```

Values from the calculation:
Its size of the total moment is 0.080 μB/f.u. The value obtained for the energy of formation is 1.3 eV/f.u. Its total energy is -7.614 eV/atom.

# 8
HgAsP2 | PBE | relaxed

Cell and atoms, written as extended XYZ:
```
4
Lattice="5.941 0.084 -0.552 5.045 3.139 -0.552 0.006 0.002 5.293" Properties=species:S:1:pos:R:3 pbc="T T T"
P 9.702 2.846 4.319
Hg 7.172 2.104 3.812
P 4.173 1.224 1.097
As 6.434 1.887 1.247
```

Values from the calculation:
Its size of the total moment is 0.000 μB/f.u. The value obtained for the energy of formation is 0.7 eV/f.u. Its total energy is -3.765 eV/atom.

Q: What is the formula in the fourth record?
A: Pu2TcBr

Q: What is the formula in the third record?
A: PmDyRu2